(1)
{
  "formula": "K4LaPt",
  "functional": "PBE",
  "state": "relaxed",
  "e_tot_ev_per_atom": -1.8495,
  "magnetic_moment_mub_per_fu": 1.88,
  "formation_enthalpy_0k_ev_per_fu": 4.261,
  "spacegroup": "F-43m, No. 216",
  "lattice": [[0.000, 4.947, 4.947], [4.947, 0.000, 4.947], [4.947, 4.947, 0.000]],
  "species": ["K", "K", "K", "K", "La", "Pt"],
  "fractional_positions": [[0.378, 0.378, 0.378], [0.378, 0.378, 0.867], [0.378, 0.867, 0.378], [0.867, 0.378, 0.378], [0.000, 0.000, 0.000], [0.750, 0.750, 0.750]]
}


(2)
{
  "formula": "KLaPt4",
  "functional": "PBE",
  "state": "relaxed",
  "e_tot_ev_per_atom": -5.7619,
  "magnetic_moment_mub_per_fu": 0.00,
  "formation_enthalpy_0k_ev_per_fu": -4.383,
  "spacegroup": "F-43m, No. 216",
  "lattice": [[0.000, 3.917, 3.917], [3.917, 0.000, 3.917], [3.917, 3.917, 0.000]],
  "species": ["K", "La", "Pt", "Pt", "Pt", "Pt"],
  "fractional_positions": [[0.000, 0.000, 0.000], [0.750, 0.750, 0.750], [0.375, 0.375, 0.375], [0.375, 0.375, 0.875], [0.375, 0.875, 0.375], [0.875, 0.375, 0.375]]
}


(3)
{
  "formula": "KLa2Pt",
  "functional": "PBE",
  "state": "relaxed",
  "e_tot_ev_per_atom": -4.2980,
  "magnetic_moment_mub_per_fu": 0.00,
  "formation_enthalpy_0k_ev_per_fu": -0.199,
  "spacegroup": "Fm-3m, No. 225",
  "lattice": [[0.000, 3.842, 3.842], [3.842, 0.000, 3.842], [3.842, 3.842, 0.000]],
  "species": ["K", "La", "La", "Pt"],
  "fractional_positions": [[0.000, 0.000, 0.000], [0.250, 0.250, 0.250], [0.750, 0.750, 0.750], [0.500, 0.500, 0.500]]
}


(4)
{
  "formula": "KLa2Pt",
  "functional": "PBE",
  "state": "relaxed",
  "e_tot_ev_per_atom": -4.0897,
  "magnetic_moment_mub_per_fu": 0.00,
  "formation_enthalpy_0k_ev_per_fu": 0.634,
  "spacegroup": "F-43m, No. 216",
  "lattice": [[0.000, 3.831, 3.831], [3.831, 0.000, 3.831], [3.831, 3.831, 0.000]],
  "species": ["K", "La", "La", "Pt"],
  "fractional_positions": [[0.000, 0.000, 0.000], [0.500, 0.500, 0.500], [0.750, 0.750, 0.750], [0.250, 0.250, 0.250]]
}


(5)
{
  "formula": "KLa3Pt",
  "functional": "PBE",
  "state": "relaxed",
  "e_tot_ev_per_atom": -3.2757,
  "magnetic_moment_mub_per_fu": 0.00,
  "formation_enthalpy_0k_ev_per_fu": 5.542,
  "spacegroup": "Pm-3m, No. 221",
  "lattice": [[5.354, 0.000, 0.000], [0.000, 5.354, 0.000], [0.000, 0.000, 5.354]],
  "species": ["K", "La", "La", "La", "Pt"],
  "fractional_positions": [[0.000, 0.000, 0.000], [0.000, 0.000, 0.500], [0.000, 0.500, 0.000], [0.500, 0.000, 0.000], [0.500, 0.500, 0.500]]
}


(6)
{
  "formula": "KLa2Pt",
  "functional": "PBE",
  "state": "relaxed",
  "e_tot_ev_per_atom": -4.4300,
  "magnetic_moment_mub_per_fu": 0.00,
  "formation_enthalpy_0k_ev_per_fu": -0.727,
  "spacegroup": "I-42d, No. 122",
  "lattice": [[-4.529, 4.529, 3.664], [4.529, -4.529, 3.664], [4.529, 4.529, -3.664]],
  "species": ["K", "K", "La", "La", "La", "La", "Pt", "Pt"],
  "fractional_positions": [[0.000, 0.000, 0.000], [0.750, 0.250, 0.500], [0.212, 0.625, 0.087], [0.375, 0.462, 0.587], [0.538, 0.125, 0.913], [0.875, 0.788, 0.413], [0.250, 0.750, 0.500], [0.500, 0.500, 0.000]]
}